K3Ho2ErTe6 | PBE-GGA | relaxed

Results
total magnetic moment = 0.000 μB per formula unit
total energy = -4.38 eV per atom
space-group type = No. 12
ΔE_f (raw) = -1387 meV per atom

Cell: 7.7512 7.7512 8.6369 Å, 98.60 98.60 120.00°
Atoms (fractional coordinates):
K 0.0000 0.0000 0.0000
K 0.3331 0.6669 0.0000
K 0.6669 0.3331 0.0000
Ho 0.1666 0.8334 0.5000
Ho 0.8334 0.1666 0.5000
Er 0.5000 0.5000 0.5000
Te 0.0985 0.4310 0.2927
Te 0.2367 0.2367 0.7074
Te 0.4310 0.0985 0.2927
Te 0.5690 0.9015 0.7073
Te 0.7633 0.7633 0.2926
Te 0.9015 0.5690 0.7073

---

La3Ho3Er4 | PBE-GGA | relaxed

Results
total magnetic moment = 0.002 μB per formula unit
total energy = -4.59 eV per atom
space-group type = No. 38
DOS(E_F) = 1.3046 states/eV per atom
ΔE_f = 0.085 eV per atom

Cell: 3.6839 9.5470 9.5470 Å, 89.99 90.00 90.00°
Atoms (fractional coordinates):
La 0.0000 0.0000 0.0000
La 0.5000 0.3323 0.8228
La 0.5000 0.8228 0.3323
Ho 0.0000 0.1546 0.4995
Ho 0.0000 0.4995 0.1546
Ho 0.0000 0.6510 0.6510
Er 0.5000 0.2072 0.2072
Er 0.5000 0.4494 0.4494
Er 0.5000 0.6972 0.9441
Er 0.5000 0.9441 0.6972

---

La7Ho3Er2 | PBE-GGA | relaxed

Results
total magnetic moment = 0.000 μB per formula unit
total energy = -4.71 eV per atom
space-group type = No. 10
DOS(E_F) = 1.3856 states/eV per atom
ΔE_f = 0.069 eV per atom

Cell: 6.5173 3.5708 17.7528 Å, 90.00 95.61 90.00°
Atoms (fractional coordinates):
La 0.0000 0.0000 0.0000
La 0.2257 0.5000 0.1731
La 0.2620 0.5000 0.4907
La 0.2764 0.0000 0.8318
La 0.7236 0.0000 0.1682
La 0.7380 0.5000 0.5093
La 0.7743 0.5000 0.8269
Ho 0.4577 0.0000 0.3378
Ho 0.5000 0.5000 0.0000
Ho 0.5423 0.0000 0.6622
Er 0.0581 0.5000 0.6695
Er 0.9419 0.5000 0.3305